1.
Ce2MnNi9 | PBE | relaxed

CIF file:
```
data_Ce2MnNi9
_symmetry_space_group_name_H-M 'R -3 m'
_symmetry_Int_Tables_number 166
_symmetry_space_group_name_Hall '-R 3 2"'
_cell_length_a 4.8581
_cell_length_b 4.8581
_cell_length_c 24.5122
_cell_angle_alpha 90.00
_cell_angle_beta 90.00
_cell_angle_gamma 120.00
loop_
_atom_site_label
_atom_site_fract_x
_atom_site_fract_y
_atom_site_fract_z
Ce1 0.0000 0.0000 0.1342
Mn1 0.0000 0.0000 0.0000
Ni1 0.0000 0.0000 0.3329
Ni2 0.0000 0.0000 0.5000
Ni3 0.0006 0.5003 0.9192
```

Calculated values
* uncorrected energy: -6.280 eV per atom
* spin magnetization: 4.86 μB/f.u.

=====

2.
CeMnNi2 | PBE | relaxed

CIF file:
```
data_CeMnNi2
_symmetry_space_group_name_H-M 'P 4/m m m'
_symmetry_Int_Tables_number 123
_symmetry_space_group_name_Hall '-P 4 2'
_cell_length_a 2.989
_cell_length_b 2.989
_cell_length_c 6.865
_cell_angle_alpha 90.00
_cell_angle_beta 90.00
_cell_angle_gamma 90.00
loop_
_atom_site_label
_atom_site_fract_x
_atom_site_fract_y
_atom_site_fract_z
Ce1 0.000 0.000 0.000
Mn1 0.000 0.000 0.500
Ni1 0.500 0.500 0.301
```

Calculated values
* uncorrected energy: -6.763 eV per atom
* spin magnetization: 4.07 μB/f.u.

=====

3.
CeMn7Ni5 | PBE | relaxed

CIF file:
```
data_CeMn7Ni5
_symmetry_space_group_name_H-M 'I m m 2'
_symmetry_Int_Tables_number 44
_symmetry_space_group_name_Hall 'I 2 -2'
_cell_length_a 4.817
_cell_length_b 8.399
_cell_length_c 8.341
_cell_angle_alpha 90.00
_cell_angle_beta 90.00
_cell_angle_gamma 90.00
loop_
_atom_site_label
_atom_site_fract_x
_atom_site_fract_y
_atom_site_fract_z
Ce1 0.000 0.000 0.000
Mn1 0.000 0.265 0.506
Mn2 0.000 0.500 0.744
Mn3 0.248 0.247 0.253
Ni1 0.000 0.000 0.356
Ni2 0.000 0.000 0.660
Ni3 0.000 0.351 0.010
Ni4 0.000 0.500 0.293
```

Calculated values
* uncorrected energy: -7.625 eV per atom
* spin magnetization: 0.66 μB/f.u.